(1)
Density functional theory data (PBE-GGA) for an optimized crystal structure of Na4TlPd2.

a = 3.242 Å, b = 10.201 Å, c = 10.201 Å
α = 90.00°, β = 90.00°, γ = 90.00°
Positions (direct):
Pd: 0.000 0.158 0.842
Pd: 0.500 0.658 0.658
Pd: 0.000 0.842 0.158
Pd: 0.500 0.342 0.342
Na: 0.000 0.696 0.910
Na: 0.500 0.804 0.410
Na: 0.500 0.196 0.590
Na: 0.000 0.090 0.304
Na: 0.000 0.910 0.696
Na: 0.000 0.304 0.090
Na: 0.500 0.590 0.196
Na: 0.500 0.410 0.804
Tl: 0.500 0.000 0.000
Tl: 0.000 0.500 0.500

Values from the calculation:
density of states at the Fermi level: 6.0 states/eV/cell
V: 24.1 A^3/atom
mass density: 5.01 Mg/m³
formation energy from the elements: -0.091 eV/atom

(2)
Density functional theory data (PBE-GGA) for an optimized crystal structure of Cs2Li14Tb3O14.

a = 8.668 Å, b = 8.668 Å, c = 8.668 Å
α = 128.68°, β = 123.40°, γ = 79.89°
Each line ends with the local moment (μB).
Positions (direct):
O: 0.000 0.298 0.298  0.18
O: 0.592 0.370 0.222  0.17
O: 0.000 0.702 0.702  0.18
O: 0.754 0.052 0.298  0.27
O: 0.948 0.131 0.817  0.15
O: 0.408 0.630 0.778  0.17
O: 0.149 0.370 0.778  0.17
O: 0.052 0.869 0.183  0.15
O: 0.246 0.544 0.298  0.27
O: 0.851 0.630 0.222  0.17
O: 0.314 0.131 0.183  0.15
O: 0.754 0.456 0.702  0.27
O: 0.246 0.948 0.702  0.27
O: 0.686 0.869 0.817  0.15
Li: 0.287 0.407 0.428  0.00
Li: 0.154 0.500 0.654  0.00
Li: 0.021 0.141 0.428  0.00
Li: 0.979 0.407 0.120  0.00
Li: 0.021 0.593 0.880  0.00
Li: 0.880 0.232 0.647  0.00
Li: 0.979 0.859 0.572  0.00
Li: 0.713 0.141 0.120  0.00
Li: 0.415 0.768 0.647  0.00
Li: 0.585 0.232 0.353  0.00
Li: 0.287 0.859 0.880  0.00
Li: 0.846 0.500 0.346  0.00
Li: 0.120 0.768 0.353  0.00
Li: 0.713 0.593 0.572  0.00
Cs: 0.500 0.766 0.266  0.00
Cs: 0.500 0.234 0.734  0.00
Tb: 0.732 0.732 0.000  0.03
Tb: 0.268 0.268 0.000  0.03
Tb: 0.000 0.000 0.000  0.01

Values from the calculation:
density of states at the Fermi level: 18.9 states/eV/cell
V: 12.4 A^3/atom
mass density: 4.31 Mg/m³
formation energy from raw total energies: -2.036 eV/atom

(3)
Density functional theory data (PBE-GGA) for an optimized crystal structure of Rb5CdIO2.

a = 5.872 Å, b = 5.872 Å, c = 10.045 Å
α = 90.00°, β = 90.00°, γ = 90.00°
Positions (direct):
Rb: 0.000 0.500 0.780
Rb: 0.500 0.000 0.780
Rb: 0.500 0.000 0.220
Rb: 0.000 0.000 0.500
Rb: 0.000 0.500 0.220
Cd: 0.000 0.000 0.000
I: 0.500 0.500 0.500
O: 0.000 0.000 0.215
O: 0.000 0.000 0.785

Values from the calculation:
density of states at the Fermi level: 2.2 states/eV/cell
V: 38.5 A^3/atom
mass density: 3.35 Mg/m³
formation energy from raw total energies: -0.908 eV/atom